Record 1
This record from Alexandria via LeMat-Bulk describes a relaxed CeFeBr crystal. The functional is PBE-GGA.

Cell lengths 11.5716, 11.5716, 11.5716 Å; angles 19.77, 19.77, 19.77 degrees
Fractional positions:
Ce (0.0560, 0.0560, 0.0560)
Ce (0.9440, 0.9440, 0.9440)
Fe (0.3354, 0.3354, 0.3354)
Fe (0.6646, 0.6646, 0.6646)
Br (0.2186, 0.2186, 0.2186)
Br (0.7814, 0.7814, 0.7814)

As for the calculated volume: 25.847 Å³ per atom. Its energy is -6.160 eV/atom. For the magnetic moment, the calculation gives 2.6 μB/cell. The value obtained for the raw formation energy is -0.8037 eV per atom.

***

Record 2
This record from Alexandria via LeMat-Bulk describes a relaxed Ce8FeIr3Br4 crystal. The functional is PBE-GGA.

Cell lengths 8.9633, 8.9633, 8.9633 Å; angles 53.97, 53.97, 53.97 degrees
Fractional positions:
Ce (0.2329, 0.2329, 0.2329)
Ce (0.2431, 0.7253, 0.7253)
Ce (0.2747, 0.2747, 0.7569)
Ce (0.2747, 0.7569, 0.2747)
Ce (0.7253, 0.2431, 0.7253)
Ce (0.7253, 0.7253, 0.2431)
Ce (0.7569, 0.2747, 0.2747)
Ce (0.7671, 0.7671, 0.7671)
Fe (0.5000, 0.5000, 0.5000)
Ir (0.0000, 0.0000, 0.5000)
Ir (0.0000, 0.5000, 0.0000)
Ir (0.5000, 0.0000, 0.0000)
Br (0.0000, 0.0000, 0.0000)
Br (0.0000, 0.5000, 0.5000)
Br (0.5000, 0.0000, 0.5000)
Br (0.5000, 0.5000, 0.0000)

As for the calculated volume: 27.344 Å³ per atom. Its energy is -6.514 eV/atom. For the magnetic moment, the calculation gives 6.6 μB/cell. The value obtained for the raw formation energy is -0.9388 eV per atom.

***

Record 3
This record from Alexandria via LeMat-Bulk describes a relaxed Ce6FeOs2Br3 crystal. The functional is PBE-GGA.

Cell lengths 6.9520, 6.9520, 7.9903 Å; angles 98.35, 98.35, 119.98 degrees
Fractional positions:
Ce (0.0642, 0.3885, 0.1927)
Ce (0.2603, 0.2603, 0.8065)
Ce (0.3885, 0.0642, 0.1927)
Ce (0.6115, 0.9358, 0.8073)
Ce (0.7397, 0.7397, 0.1935)
Ce (0.9358, 0.6115, 0.8073)
Fe (0.0000, 0.0000, 0.0000)
Os (0.3334, 0.6666, 0.0000)
Os (0.6666, 0.3334, 0.0000)
Br (0.1675, 0.8325, 0.5000)
Br (0.5000, 0.5000, 0.5000)
Br (0.8325, 0.1675, 0.5000)

As for the calculated volume: 26.675 Å³ per atom. Its energy is -6.665 eV/atom. For the magnetic moment, the calculation gives 3.2 μB/cell. The value obtained for the raw formation energy is -0.7029 eV per atom.

***

Record 4
This record from Alexandria via LeMat-Bulk describes a relaxed CeGaBr4 crystal. The functional is PBE-GGA.

Cell lengths 9.0318, 9.0318, 9.0318 Å; angles 121.63, 121.30, 87.47 degrees
Fractional positions:
Ce (0.0000, 0.0000, 0.0000)
Ce (0.5000, 0.0000, 0.5000)
Ga (0.5000, 0.0000, 0.0000)
Ga (0.5000, 0.5000, 0.5000)
Br (0.2243, 0.2193, 0.0050)
Br (0.2547, 0.2307, 0.4760)
Br (0.2547, 0.7787, 0.0240)
Br (0.2857, 0.7807, 0.5050)
Br (0.7143, 0.2193, 0.4950)
Br (0.7453, 0.2213, 0.9760)
Br (0.7453, 0.7693, 0.5240)
Br (0.7757, 0.7807, 0.9950)

As for the calculated volume: 42.405 Å³ per atom. Its energy is -3.981 eV/atom. For the magnetic moment, the calculation gives 2.0 μB/cell. The value obtained for the raw formation energy is -1.3728 eV per atom.

***

Record 5
This record from Alexandria via LeMat-Bulk describes a relaxed Ce4GaBr5 crystal. The functional is PBE-GGA.

Cell lengths 9.3846, 9.3846, 8.8116 Å; angles 100.98, 100.98, 25.40 degrees
Fractional positions:
Ce (0.0030, 0.0030, 0.2378)
Ce (0.3355, 0.3355, 0.9338)
Ce (0.6645, 0.6645, 0.0662)
Ce (0.9970, 0.9970, 0.7622)
Ga (0.5000, 0.5000, 0.0000)
Br (0.1662, 0.1662, 0.8105)
Br (0.1698, 0.1698, 0.3204)
Br (0.5000, 0.5000, 0.5000)
Br (0.8302, 0.8302, 0.6796)
Br (0.8338, 0.8338, 0.1895)

As for the calculated volume: 32.649 Å³ per atom. Its energy is -4.820 eV/atom. For the magnetic moment, the calculation gives 5.0 μB/cell. The value obtained for the raw formation energy is -1.3076 eV per atom.

***

Record 6
This record from Alexandria via LeMat-Bulk describes a relaxed CeGa6Br12 crystal. The functional is PBE-GGA.

Cell lengths 9.1196, 9.1196, 9.1196 Å; angles 71.87, 71.87, 71.87 degrees
Fractional positions:
Ce (0.0000, 0.0000, 0.0000)
Ga (0.1087, 0.3091, 0.4394)
Ga (0.3091, 0.4394, 0.1087)
Ga (0.4394, 0.1087, 0.3091)
Ga (0.5606, 0.8913, 0.6909)
Ga (0.6909, 0.5606, 0.8913)
Ga (0.8913, 0.6909, 0.5606)
Br (0.0421, 0.8960, 0.3161)
Br (0.1040, 0.6839, 0.9579)
Br (0.1564, 0.4810, 0.5923)
Br (0.3161, 0.0421, 0.8960)
Br (0.4077, 0.8436, 0.5190)
Br (0.4810, 0.5923, 0.1564)
Br (0.5190, 0.4077, 0.8436)
Br (0.5923, 0.1564, 0.4810)
Br (0.6839, 0.9579, 0.1040)
Br (0.8436, 0.5190, 0.4077)
Br (0.8960, 0.3161, 0.0421)
Br (0.9579, 0.1040, 0.6839)

As for the calculated volume: 35.023 Å³ per atom. Its energy is -3.092 eV/atom. For the magnetic moment, the calculation gives 0.6 μB/cell. The value obtained for the raw formation energy is -0.7673 eV per atom.

***

Record 7
This record from Alexandria via LeMat-Bulk describes a relaxed Ce2GaBr8 crystal. The functional is PBE-GGA.

Cell lengths 7.9626, 7.9626, 5.8421 Å; angles 96.82, 96.82, 110.74 degrees
Fractional positions:
Ce (0.1838, 0.8162, 0.0000)
Ce (0.8162, 0.1838, 0.0000)
Ga (0.5000, 0.5000, 0.5000)
Br (0.1080, 0.1080, 0.2897)
Br (0.1714, 0.4372, 0.9123)
Br (0.2550, 0.7450, 0.5000)
Br (0.4372, 0.1714, 0.9123)
Br (0.5628, 0.8286, 0.0877)
Br (0.7450, 0.2550, 0.5000)
Br (0.8286, 0.5628, 0.0877)
Br (0.8920, 0.8920, 0.7103)

As for the calculated volume: 30.796 Å³ per atom. Its energy is -4.003 eV/atom. For the magnetic moment, the calculation gives 1.0 μB/cell. The value obtained for the raw formation energy is -1.4326 eV per atom.

***

Record 8
This record from Alexandria via LeMat-Bulk describes a relaxed Ce7GaBr12 crystal. The functional is PBE-GGA.

Cell lengths 9.5490, 9.5490, 9.5490 Å; angles 108.47, 108.47, 108.47 degrees
Fractional positions:
Ce (0.0000, 0.0000, 0.0000)
Ce (0.1572, 0.4515, 0.3735)
Ce (0.3735, 0.1572, 0.4515)
Ce (0.4515, 0.3735, 0.1572)
Ce (0.5485, 0.6265, 0.8428)
Ce (0.6265, 0.8428, 0.5485)
Ce (0.8428, 0.5485, 0.6265)
Ga (0.5000, 0.5000, 0.5000)
Br (0.0204, 0.1056, 0.3418)
Br (0.1056, 0.3418, 0.0204)
Br (0.1934, 0.5739, 0.7228)
Br (0.2772, 0.8066, 0.4261)
Br (0.3418, 0.0204, 0.1056)
Br (0.4261, 0.2772, 0.8066)
Br (0.5739, 0.7228, 0.1934)
Br (0.6582, 0.9796, 0.8944)
Br (0.7228, 0.1934, 0.5739)
Br (0.8066, 0.4261, 0.2772)
Br (0.8944, 0.6582, 0.9796)
Br (0.9796, 0.8944, 0.6582)

As for the calculated volume: 34.704 Å³ per atom. Its energy is -4.741 eV/atom. For the magnetic moment, the calculation gives 9.9 μB/cell. The value obtained for the raw formation energy is -1.5090 eV per atom.

***

Number 2 is which compound? Ce8FeIr3Br4

***

Which formula does entry 3 have? Ce6FeOs2Br3

***

Look up the raw formation energy of the first one. -0.8037 eV per atom